{"formula": "YMgW2", "functional": "PBE", "state": "optimized geometry", "dft_energy_ev_per_atom": -7.928, "ef_mev_per_atom": 564, "lattice_angstrom": [[4.672, -1.402, 0.000], [4.672, 1.402, 0.000], [-0.305, 0.000, 6.067]], "species": ["Y", "Mg", "W", "W"], "fractional_positions": [[0.000, 0.000, 0.000], [0.755, 0.755, 0.290], [0.250, 0.250, 0.713], [0.495, 0.495, 0.522]]}